# 1
The following is a DFT calculation (PBE) of an optimized crystal structure of Ho2TlFe.

Cell lengths 3.6067, 3.6067, 29.6392 Å; angles 90.00, 90.00, 120.00 degrees
Last column: nearest neighbours and their distance in Å.
Space group R-3m (No. 166, hexagonal axes)
Symmetry-distinct sites (fractional):
1 Ho 0.0000 0.0000 0.1099 [6 per cell]  3 Fe 2.68
2 Tl 0.0000 0.0000 0.0000 [3 per cell]  2 Ho 3.26, 6 Tl 3.61
3 Fe 0.0000 0.0000 0.5000 [3 per cell]  6 Ho 2.68

- Calculated formation energy: 0.190 eV per atom

=====

# 2
The following is a DFT calculation (PBE) of an optimized crystal structure of SrTc2Ag.

Cell lengths 5.6412, 10.0063, 2.6715 Å; angles 90.00, 90.00, 90.00 degrees
Last column: nearest neighbours and their distance in Å.
Space group Cmmm (No. 65)
Symmetry-distinct sites (fractional):
1 Sr 0.0000 0.0000 0.0000 [2 per cell]  2 Sr 2.67, 2 Ag 2.82
2 Tc 0.2500 0.2500 0.5000 [4 per cell]  4 Tc 2.67-2.82
3 Ag 0.0000 0.5000 0.0000 [2 per cell]  2 Ag 2.67, 2 Sr 2.82

- Calculated formation energy: 0.900 eV per atom

=====

# 3
The following is a DFT calculation (PBE) of an optimized crystal structure of YGePd.

Cell lengths 4.4145, 21.1125, 7.6323 Å; angles 90.00, 90.00, 90.00 degrees
Last column: nearest neighbours and their distance in Å.
Space group Imm2 (No. 44)
Symmetry-distinct sites (fractional):
1 Y 0.0000 0.0000 0.0000 [2 per cell]  6 Ge 3.01-3.03, 6 Pd 3.22-3.26
2 Y 0.0000 0.1668 0.0838 [4 per cell]  6 Pd 2.98-3.22, 6 Ge 3.04-3.28
3 Y 0.0000 0.3329 0.0064 [4 per cell]  6 Pd 3.06-3.16, 6 Ge 3.09-3.23
4 Y 0.0000 0.5000 0.0826 [2 per cell]  6 Ge 3.11-3.21, 6 Pd 3.12-3.14
5 Ge 0.0000 0.0940 0.7041 [4 per cell]  3 Pd 2.57-2.58
6 Ge 0.0000 0.2648 0.3858 [4 per cell]  4 Pd 2.56-2.77
7 Ge 0.0000 0.4350 0.7027 [4 per cell]  3 Pd 2.56-2.63, 1 Ge 2.75
8 Pd 0.0000 0.0718 0.3719 [4 per cell]  3 Ge 2.56-2.58
9 Pd 0.0000 0.2330 0.7152 [4 per cell]  3 Ge 2.56-2.60
10 Pd 0.0000 0.3958 0.3752 [4 per cell]  4 Ge 2.57-2.77

- Calculated formation energy: -0.996 eV per atom

=====

# 4
The following is a DFT calculation (PBE) of an optimized crystal structure of AcNdPSe.

Cell lengths 4.2349, 4.2349, 22.5275 Å; angles 90.00, 90.00, 120.00 degrees
Last column: nearest neighbours and their distance in Å.
Space group R3m (No. 160, hexagonal axes)
Symmetry-distinct sites (fractional):
1 Ac 0.0000 0.0000 0.0000 [3 per cell]  3 P 3.02, 3 Se 3.25
2 Nd 0.0000 0.0000 0.1836 [3 per cell]  3 P 2.92, 3 Se 3.16
3 P 0.0000 0.0000 0.5880 [3 per cell]  3 Nd 2.92, 3 Ac 3.02
4 Se 0.0000 0.0000 0.4280 [3 per cell]  3 Nd 3.16, 3 Ac 3.25

- Formation energy from raw total energies: -1.6624 eV/atom

=====

# 5
The following is a DFT calculation (PBE) of an optimized crystal structure of Tb2MgSn3.

Cell lengths 13.5144, 8.8469, 5.8504 Å; angles 90.00, 90.00, 90.00 degrees
Last column: nearest neighbours and their distance in Å.
Space group Cmcm (No. 63)
Symmetry-distinct sites (fractional):
1 Tb 0.1477 0.1885 0.2500 [8 per cell]  5 Sn 3.14-3.17
2 Mg 0.0000 0.4090 0.7500 [4 per cell]  5 Sn 2.86-3.00
3 Sn 0.0000 0.0854 0.7500 [4 per cell]  1 Mg 2.86, 2 Tb 3.14
4 Sn 0.1848 0.5000 0.0000 [8 per cell]  2 Sn 2.93, 2 Mg 3.00, 4 Tb 3.16-3.17

- Calculated formation energy: -0.334 eV per atom

=====

# 6
The following is a DFT calculation (PBE) of an optimized crystal structure of Mg2MoPt.

Cell lengths 6.4403, 6.4403, 6.4403 Å; angles 90.00, 90.00, 90.00 degrees
Last column: nearest neighbours and their distance in Å.
Space group Fm-3m (No. 225)
Symmetry-distinct sites (fractional):
1 Mg 0.2500 0.2500 0.2500 [8 per cell]  4 Mo 2.79, 4 Pt 2.79
2 Mo 0.0000 0.0000 0.0000 [4 per cell]  8 Mg 2.79
3 Pt 0.0000 0.0000 0.5000 [4 per cell]  8 Mg 2.79

- Calculated formation energy: 0.006 eV per atom

=====

# 7
The following is a DFT calculation (PBE) of an optimized crystal structure of Nd3Co2Ni4.

Cell lengths 3.9855, 3.9855, 24.2285 Å; angles 90.00, 90.00, 120.00 degrees
Last column: nearest neighbours and their distance in Å.
Space group P-6m2 (No. 187)
Symmetry-distinct sites (fractional):
1 Nd 0.0000 0.0000 0.0839 [2 per cell]  9 Ni 3.04-3.07, 3 Co 3.04
2 Nd 0.0000 0.0000 0.2478 [2 per cell]  3 Co 3.04, 9 Ni 3.04-3.07
3 Nd 0.0000 0.0000 0.4156 [2 per cell]  6 Ni 3.07, 6 Co 3.08
4 Co 0.3333 0.6667 0.5000 [1 per cell]  3 Co 2.30
5 Co 0.6667 0.3333 0.1659 [2 per cell]  3 Ni 2.30
6 Co 0.6667 0.3333 0.5000 [1 per cell]  3 Co 2.30
7 Ni 0.3333 0.6667 0.0000 [1 per cell]  3 Ni 2.30
8 Ni 0.3333 0.6667 0.1658 [2 per cell]  3 Co 2.30
9 Ni 0.3333 0.6667 0.3319 [2 per cell]  3 Ni 2.30
10 Ni 0.6667 0.3333 0.0000 [1 per cell]  3 Ni 2.30
11 Ni 0.6667 0.3333 0.3320 [2 per cell]  3 Ni 2.30

- Calculated formation energy: -0.222 eV per atom

=====

# 8
The following is a DFT calculation (PBE) of an optimized crystal structure of LiZrSe2O8.

Cell lengths 6.9538, 6.9538, 6.2540 Å; angles 90.00, 90.00, 90.00 degrees
Last column: nearest neighbours and their distance in Å.
Space group I-4m2 (No. 119)
Symmetry-distinct sites (fractional):
1 Li 0.0000 0.0000 0.0000 [2 per cell]  8 O 2.26-2.42
2 Zr 0.0000 0.5000 0.7500 [2 per cell]  8 O 2.14-2.37
3 Se 0.0000 0.0000 0.5000 [2 per cell]  4 O 1.79
4 Se 0.0000 0.5000 0.2500 [2 per cell]  4 O 1.69
5 O 0.0000 0.1982 0.6815 [8 per cell]  1 Se 1.79
6 O 0.0000 0.3185 0.0714 [8 per cell]  1 Se 1.69

- Formation energy from raw total energies: -1.3658 eV/atom

=====

# 9
The following is a DFT calculation (PBE) of an optimized crystal structure of Li2TaPb.

Cell lengths 3.3503, 4.8403, 9.9395 Å; angles 90.00, 90.00, 90.00 degrees
Last column: nearest neighbours and their distance in Å.
Space group Cmmm (No. 65)
Symmetry-distinct sites (fractional):
1 Li 0.0000 0.0000 0.2477 [4 per cell]  4 Li 2.94, 2 Ta 2.98, 2 Pb 3.02
2 Ta 0.0000 0.5000 0.0000 [2 per cell]  4 Ta 2.94, 4 Li 2.98
3 Pb 0.0000 0.5000 0.5000 [2 per cell]  4 Pb 2.94, 4 Li 3.02

- Calculated formation energy: 0.316 eV per atom

=====

# 10
The following is a DFT calculation (PBE) of an optimized crystal structure of Na3IN.

Cell lengths 5.8336, 5.8336, 5.8336 Å; angles 90.00, 90.00, 90.00 degrees
Last column: nearest neighbours and their distance in Å.
Space group Pm-3m (No. 221)
Symmetry-distinct sites (fractional):
1 Na 0.0000 0.0000 0.5000 [3 per cell]  2 I 2.92
2 I 0.0000 0.0000 0.0000 [1 per cell]  6 Na 2.92
3 N 0.5000 0.5000 0.5000 [1 per cell]  12 Na 4.13

- Formation energy from raw total energies: 0.5972 eV/atom